A relaxed NaLaTc2 crystal, computed with PBE.

Summary:
As for the offset from the most stable computed form: 0 meV per atom. Its formation energy is 1.02 eV/atom. The calculation puts the density of states at the Fermi level at 7.534 states/eV/cell. The space-group type is Fm-3m (225).

Geometry as POSCAR:
```
NaLaTc2
1.0
0.000 3.413 3.413
3.413 0.000 3.413
3.413 3.413 0.000
Na La Tc
1 1 2
direct
0.000 0.000 0.000
0.500 0.500 0.500
0.250 0.250 0.250
0.750 0.750 0.750
```